No. 1
ZrAsIrSe2 | GGA-PBEsol | optimized geometry

Its uncorrected formation energy is 0.325 eV/atom.

It has space group P4/mmm (No. 123), with a = 4.8612 Å, b = 4.8612 Å, c = 4.6255 Å, α = 90.00°, β = 90.00° and γ = 90.00°. Symmetry generates all atoms from Zr at (0.0000, 0.0000, 0.0000), As at (0.5000, 0.5000, 0.0000), Ir at (0.5000, 0.5000, 0.5000) and Se at (0.0000, 0.5000, 0.5000).

***

No. 2
Fe5Ir | GGA-PBEsol | optimized geometry

The energy above the lowest structure with this stoichiometry is 0.000 eV per atom. For the calculated formation energy, the calculation gives -3.04 kJ per mole of atoms.

It has space group P-62m (No. 189), with a = 4.3157 Å, b = 4.3157 Å, c = 3.9248 Å, α = 90.00°, β = 90.00° and γ = 120.00°. Symmetry generates all atoms from Fe at (0.0000, 0.3520, 0.0000), Fe at (0.3333, 0.6667, 0.5000) and Ir at (0.0000, 0.0000, 0.5000).

***

No. 3
SrBeSe2N | GGA-PBEsol | optimized geometry

Its uncorrected formation energy is 1.305 eV/atom.

It has space group P4/mmm (No. 123), with a = 5.6759 Å, b = 5.6759 Å, c = 4.6704 Å, α = 90.00°, β = 90.00° and γ = 90.00°. Symmetry generates all atoms from Sr at (0.0000, 0.0000, 0.0000), Be at (0.5000, 0.5000, 0.5000), Se at (0.0000, 0.5000, 0.0000) and N at (0.0000, 0.0000, 0.5000).

***

No. 4
NiSb2Cl | GGA-PBEsol | optimized geometry

Its uncorrected formation energy is 0.052 eV/atom.

It has space group Pmmm (No. 47), with a = 3.1644 Å, b = 4.6354 Å, c = 5.3629 Å, α = 90.00°, β = 90.00° and γ = 90.00°. Symmetry generates all atoms from Ni at (0.0000, 0.0000, 0.0000), Sb at (0.0000, 0.0000, 0.5000), Sb at (0.5000, 0.5000, 0.0000) and Cl at (0.5000, 0.5000, 0.5000).

***

No. 5
CaSiP3 | GGA-PBEsol | optimized geometry

Its uncorrected formation energy is -0.226 eV/atom.

It has space group P4/mbm (No. 127), with a = 5.9270 Å, b = 5.9270 Å, c = 5.3169 Å, α = 90.00°, β = 90.00° and γ = 90.00°. Symmetry generates all atoms from Ca at (0.0000, 0.5000, 0.0000), Si at (0.0000, 0.0000, 0.5000), P at (0.0000, 0.0000, 0.0000) and P at (0.1261, 0.3739, 0.5000).

***

No. 6
LaBiO3 | GGA-PBEsol | optimized geometry

Its uncorrected formation energy is -2.325 eV/atom.

It has space group R3c (No. 161, hexagonal axes), with a = 6.2085 Å, b = 6.2085 Å, c = 14.9257 Å, α = 90.00°, β = 90.00° and γ = 120.00°. Symmetry generates all atoms from La at (0.0000, 0.0000, 0.0000), Bi at (0.0000, 0.0000, 0.2243) and O at (0.0010, 0.2741, 0.1215).

***

No. 7
AgPdRu2Rh | GGA-PBEsol | optimized geometry

For the calculated formation energy, the calculation gives 235.69 kJ per mole of atoms.

It has space group P4/mmm (No. 123), with a = 4.6594 Å, b = 4.6594 Å, c = 4.6495 Å, α = 90.00°, β = 90.00° and γ = 90.00°. Symmetry generates all atoms from Ag at (0.0000, 0.0000, 0.0000), Pd at (0.0000, 0.0000, 0.5000), Ru at (0.0000, 0.5000, 0.0000) and Rh at (0.5000, 0.5000, 0.5000).

***

No. 8
Hf3ReSe | GGA-PBEsol | optimized geometry

Its uncorrected formation energy is 0.603 eV/atom.

It has space group Pm-3m (No. 221), with a = 4.7543 Å, b = 4.7543 Å, c = 4.7543 Å, α = 90.00°, β = 90.00° and γ = 90.00°. Symmetry generates all atoms from Hf at (0.0000, 0.0000, 0.5000), Re at (0.5000, 0.5000, 0.5000) and Se at (0.0000, 0.0000, 0.0000).

***

The records above yield DFT total energy values of -6.02 -9.14 -3.11 -4.27 -5.28 -7.40 -5.11 -9.14 eV per atom, respectively.
The records above yield calculated volume values of 109.3 63.3 150.5 78.7 93.4 83.0 100.9 107.5 Å³/f.u., respectively.